# 1
An optimized crystal structure of SmAlFe, computed with PBE-GGA.

Output
Calculated total energy ... -67.4 eV per cell
Formation energy from the elements ... 0.027 eV per atom
DOS at the Fermi energy ... 11.9 states/eV per cell

a b c (Å): 4.9078 5.5150 9.7494
angles (deg): 83.57 75.42 63.58
Atoms (fractional coordinates):
Al  0.1592  0.5000  0.6816
Al  0.3408  0.5000  0.3184
Al  0.5908  0.0000  0.8184
Al  0.4092  0.0000  0.1816
Fe  0.6234  0.5000  0.7532
Fe  0.8766  0.5000  0.2468
Fe  0.1266  0.0000  0.7468
Fe  0.8734  0.0000  0.2532
Sm  0.9004  0.1992  0.5000
Sm  0.5996  0.8008  0.5000
Sm  0.8496  0.3008  0.0000
Sm  0.1504  0.6992  0.0000

---

# 2
An optimized crystal structure of YGePd, computed with PBE-GGA.

Output
Calculated total energy ... -18.0 eV per cell
Formation energy from the elements ... -0.587 eV per atom
DOS at the Fermi energy ... 1.0 states/eV per cell

a b c (Å): 3.8139 3.8139 5.0839
angles (deg): 112.03 112.03 90.00
Atoms (fractional coordinates):
Y  0.6243  0.6243  0.2486
Ge  0.9536  0.9536  0.9073
Pd  0.2721  0.2721  0.5441

---

# 3
An optimized crystal structure of UV3, computed with PBE-GGA.

Output
Excess energy over the best structure of this formula in the dataset ... 0.00 eV/f.u.
Calculated total energy ... -38.2 eV per cell
Formation energy from the elements ... 0.104 eV per atom
DOS at the Fermi energy ... 3.2 states/eV per cell

a b c (Å): 4.3980 4.3980 4.3980
angles (deg): 60.00 60.00 60.00
Atoms (fractional coordinates):
U  0.5000  0.5000  0.5000
V  0.0000  0.0000  0.0000
V  0.7500  0.7500  0.7500
V  0.2500  0.2500  0.2500

---

# 4
An optimized crystal structure of Dy3Nb5N12, computed with PBE-GGA.

Output
E_form (uncorrected) ... -0.917 eV/atom
Calculated total energy ... -729.6 eV per cell
DOS at the Fermi energy ... 66.3 states/eV per cell

a b c (Å): 11.2302 11.2302 11.2302
angles (deg): 109.47 109.47 109.47
Atoms (fractional coordinates):
Dy  0.7500  0.3750  0.1250
Dy  0.8750  0.7500  0.1250
Dy  0.3750  0.7500  0.6250
Dy  0.2500  0.1250  0.3750
Dy  0.8750  0.1250  0.2500
Dy  0.3750  0.6250  0.2500
Dy  0.6250  0.3750  0.7500
Dy  0.1250  0.8750  0.7500
Dy  0.7500  0.8750  0.6250
Dy  0.6250  0.2500  0.3750
Dy  0.1250  0.2500  0.8750
Dy  0.2500  0.6250  0.8750
Nb  0.1250  0.3750  0.2500
Nb  0.0000  0.5000  0.0000
Nb  0.0000  0.0000  0.0000
Nb  0.3750  0.2500  0.1250
Nb  0.5000  0.0000  0.5000
Nb  0.5000  0.5000  0.0000
Nb  0.1250  0.7500  0.3750
Nb  0.7500  0.1250  0.8750
Nb  0.7500  0.6250  0.3750
Nb  0.3750  0.1250  0.7500
Nb  0.6250  0.8750  0.2500
Nb  0.5000  0.5000  0.5000
Nb  0.5000  0.0000  0.0000
Nb  0.0000  0.0000  0.5000
Nb  0.2500  0.3750  0.6250
Nb  0.2500  0.8750  0.1250
Nb  0.0000  0.5000  0.5000
Nb  0.8750  0.2500  0.6250
Nb  0.6250  0.7500  0.8750
Nb  0.8750  0.6250  0.7500
N  0.7064  0.1211  0.0280
N  0.3215  0.5280  0.4069
N  0.9720  0.3789  0.2936
N  0.5280  0.2064  0.1211
N  0.5854  0.7064  0.6785
N  0.9720  0.5931  0.1785
N  0.3215  0.7936  0.4146
N  0.0931  0.9146  0.1211
N  0.5931  0.9720  0.6785
N  0.7064  0.5854  0.1785
N  0.7936  0.4720  0.3789
N  0.8215  0.9069  0.0280
N  0.1211  0.7064  0.5280
N  0.3789  0.4069  0.0854
N  0.0854  0.9069  0.3789
N  0.4146  0.1211  0.5931
N  0.0854  0.1785  0.2064
N  0.4720  0.6785  0.0931
N  0.8215  0.9146  0.2936
N  0.1211  0.4146  0.0931
N  0.3789  0.9720  0.7936
N  0.5931  0.6211  0.4146
N  0.9069  0.8215  0.5280
N  0.7936  0.3215  0.9146
N  0.4069  0.3789  0.5854
N  0.0931  0.1785  0.4720
N  0.2064  0.6785  0.0854
N  0.1785  0.0854  0.7064
N  0.6211  0.0280  0.2064
N  0.8789  0.5854  0.9069
N  0.5280  0.3215  0.9069
N  0.5854  0.8789  0.4069
N  0.9146  0.8215  0.7936
N  0.9146  0.0931  0.6211
N  0.8789  0.2936  0.4720
N  0.1785  0.0931  0.9720
N  0.6211  0.5931  0.9146
N  0.4069  0.0280  0.3215
N  0.2936  0.4146  0.8215
N  0.2064  0.5280  0.6211
N  0.9069  0.0854  0.8789
N  0.6785  0.2064  0.5854
N  0.4720  0.7936  0.8789
N  0.0280  0.4069  0.8215
N  0.4146  0.2936  0.3215
N  0.0280  0.6211  0.7064
N  0.6785  0.4720  0.5931
N  0.2936  0.8789  0.9720